Entry 1:
A relaxed Y2RhI crystal, computed with PBE.

Cell and atoms, written as CIF:
```
data_Y2RhI
_cell_length_a 7.7302
_cell_length_b 7.7302
_cell_length_c 7.8940
_cell_angle_alpha 90.00
_cell_angle_beta 90.00
_cell_angle_gamma 90.00
_space_group_name_H-M_alt 'I -4 2 d'
_space_group_IT_number 122
_space_group_name_Hall 'I -4 2bw'
loop_
_atom_site_label
_atom_site_fract_x
_atom_site_fract_y
_atom_site_fract_z
Y1 0.2002 0.2500 0.1250
Rh1 0.0000 0.0000 0.0000
I1 0.0000 0.0000 0.5000
```

## Properties
* relative energy among the computed polymorphs: 0.494 eV/atom
* formation energy without anion corrections: -0.425 eV/atom



Entry 2:
A relaxed Cd2PtPb crystal, computed with PBE.

Cell and atoms, written as CIF:
```
data_Cd2PtPb
_cell_length_a 9.4953
_cell_length_b 3.8750
_cell_length_c 5.1622
_cell_angle_alpha 90.00
_cell_angle_beta 108.48
_cell_angle_gamma 90.00
_space_group_name_H-M_alt 'C 1 2/m 1'
_space_group_IT_number 12
_space_group_name_Hall '-C 2y'
loop_
_atom_site_label
_atom_site_fract_x
_atom_site_fract_y
_atom_site_fract_z
Cd1 0.2302 0.0000 0.1998
Pt1 0.0000 0.5000 0.0000
Pb1 0.0000 0.0000 0.5000
```

## Properties
* ΔE_f: -17 kJ/mol of formula units



Entry 3:
A relaxed LiSm4In2 crystal, computed with PBE.

Cell and atoms, written as CIF:
```
data_LiSm4In2
_cell_length_a 7.2184
_cell_length_b 6.5680
_cell_length_c 9.1173
_cell_angle_alpha 90.00
_cell_angle_beta 108.34
_cell_angle_gamma 90.00
_space_group_name_H-M_alt 'P 1 21/m 1'
_space_group_IT_number 11
_space_group_name_Hall '-P 2yb'
loop_
_atom_site_label
_atom_site_fract_x
_atom_site_fract_y
_atom_site_fract_z
Li1 0.0305 0.2500 0.2575
Sm1 0.1785 0.7500 0.1414
Sm2 0.3291 0.0072 0.7855
Sm3 0.4369 0.2500 0.4648
In1 0.0679 0.7500 0.4630
In2 0.2680 0.2500 0.0803
```

## Properties
* relative energy among the computed polymorphs: 0.056 eV/atom
* ΔE_f: -103 kJ/mol of formula units



Entry 4:
A relaxed BaPt2Se crystal, computed with PBE.

Cell and atoms, written as CIF:
```
data_BaPt2Se
_cell_length_a 3.4055
_cell_length_b 3.4055
_cell_length_c 7.6495
_cell_angle_alpha 90.00
_cell_angle_beta 90.00
_cell_angle_gamma 90.00
_space_group_name_H-M_alt 'P 4/m m m'
_space_group_IT_number 123
_space_group_name_Hall '-P 4 2'
loop_
_atom_site_label
_atom_site_fract_x
_atom_site_fract_y
_atom_site_fract_z
Ba1 0.0000 0.0000 0.0000
Pt1 0.5000 0.5000 0.3135
Se1 0.0000 0.0000 0.5000
```

## Properties
* formation energy without anion corrections: -0.043 eV/atom



Entry 5:
A relaxed SmMgGa2Cu2 crystal, computed with PBE.

Cell and atoms, written as CIF:
```
data_SmMgGa2Cu2
_cell_length_a 4.2643
_cell_length_b 4.2643
_cell_length_c 6.9662
_cell_angle_alpha 90.00
_cell_angle_beta 90.00
_cell_angle_gamma 120.00
_space_group_name_H-M_alt 'P -3 m 1'
_space_group_IT_number 164
_space_group_name_Hall '-P 3 2"'
loop_
_atom_site_label
_atom_site_fract_x
_atom_site_fract_y
_atom_site_fract_z
Sm1 0.0000 0.0000 0.0000
Mg1 0.0000 0.0000 0.5000
Ga1 0.3333 0.6667 0.2816
Cu1 0.3333 0.6667 0.6928
```

## Properties
* ΔE_f: -228 kJ/mol of formula units



Entry 6:
A relaxed TbThScTi crystal, computed with PBE.

Cell and atoms, written as CIF:
```
data_TbThScTi
_cell_length_a 7.4612
_cell_length_b 7.4612
_cell_length_c 7.4612
_cell_angle_alpha 90.00
_cell_angle_beta 90.00
_cell_angle_gamma 90.00
_space_group_name_H-M_alt 'F -4 3 m'
_space_group_IT_number 216
_space_group_name_Hall 'F -4 2 3'
loop_
_atom_site_label
_atom_site_fract_x
_atom_site_fract_y
_atom_site_fract_z
Tb1 0.0000 0.0000 0.0000
Th1 0.0000 0.0000 0.5000
Sc1 0.2500 0.2500 0.7500
Ti1 0.2500 0.2500 0.2500
```

## Properties
* ΔE_f: 60 kJ/mol of formula units



Entry 7:
A relaxed PaSiO4F2 crystal, computed with PBE.

Cell and atoms, written as CIF:
```
data_PaSiO4F2
_cell_length_a 6.1255
_cell_length_b 6.7409
_cell_length_c 6.0820
_cell_angle_alpha 90.00
_cell_angle_beta 90.00
_cell_angle_gamma 90.00
_space_group_name_H-M_alt 'P m n 21'
_space_group_IT_number 31
_space_group_name_Hall 'P 2ac -2'
loop_
_atom_site_label
_atom_site_fract_x
_atom_site_fract_y
_atom_site_fract_z
Pa1 0.0000 0.1684 0.0000
Si1 0.0000 0.5011 0.4957
O1 0.0000 0.3514 0.2875
O2 0.0000 0.3582 0.7101
O3 0.2103 0.6467 0.4939
F1 0.2368 0.9921 0.2054
```

## Properties
* formation energy without anion corrections: -2.898 eV/atom



Entry 8:
A relaxed BaGaCuAu3 crystal, computed with PBE.

Cell and atoms, written as CIF:
```
data_BaGaCuAu3
_cell_length_a 6.9967
_cell_length_b 12.2498
_cell_length_c 6.7410
_cell_angle_alpha 90.00
_cell_angle_beta 90.00
_cell_angle_gamma 90.00
_space_group_name_H-M_alt 'C m c m'
_space_group_IT_number 63
_space_group_name_Hall '-C 2c 2'
loop_
_atom_site_label
_atom_site_fract_x
_atom_site_fract_y
_atom_site_fract_z
Ba1 0.0000 0.2224 0.2500
Ga1 0.0000 0.0973 0.7500
Cu1 0.0000 0.4889 0.2500
Au1 0.0000 0.3036 0.7500
Au2 0.2259 0.0000 0.0000
```

## Properties
* ΔE_f: -204 kJ/mol of formula units



| no. | D(E_F) (states/eV/atom) | calculated density (g/cm3) | final energy (eV/f.u.) |
| --- | --- | --- | --- |
| 1 | 0.684 | 5.74 | -23.53 |
| 2 | 0.366 | 11.56 | -11.75 |
| 3 | 1.023 | 6.78 | -27.34 |
| 4 | 0.667 | 11.35 | -17.66 |
| 5 | 0.383 | 6.68 | -22.92 |
| 6 | 1.544 | 7.74 | -25.66 |
| 7 | 0.380 | 4.78 | -61.68 |
| 8 | 0.377 | 9.90 | -21.00 |